ThBi2Sb | PBE-GGA | optimized geometry

Summary:
ΔE_f (raw) in eV/atom: -0.3891
Relative energy among the computed polymorphs in eV/f.u.: 0.00

CIF file:
```
data_ThBi2Sb
_chemical_formula_sum 'Th1 Bi2 Sb1'
_symmetry_space_group_name_H-M 'P 4/m m m'
_symmetry_Int_Tables_number 123
_symmetry_space_group_name_Hall '-P 4 2'
_cell_length_a 4.799
_cell_length_b 4.799
_cell_length_c 5.152
_cell_angle_alpha 90.00
_cell_angle_beta 90.00
_cell_angle_gamma 90.00
loop_
_atom_site_label
_atom_site_type_symbol
_atom_site_fract_x
_atom_site_fract_y
_atom_site_fract_z
Th1 Th 0.000 0.000 0.000
Bi1 Bi 0.000 0.500 0.500
Sb1 Sb 0.500 0.500 0.000
```



LiTcH4 | PBE-GGA | optimized geometry

Summary:
Relative energy among the computed polymorphs in eV/f.u.: 0.00

CIF file:
```
data_LiTcH4
_chemical_formula_sum 'Li2 Tc2 H8'
_symmetry_space_group_name_H-M 'C m m m'
_symmetry_Int_Tables_number 65
_symmetry_space_group_name_Hall '-C 2 2'
_cell_length_a 4.180
_cell_length_b 4.209
_cell_length_c 4.622
_cell_angle_alpha 90.00
_cell_angle_beta 90.00
_cell_angle_gamma 90.00
loop_
_atom_site_label
_atom_site_type_symbol
_atom_site_fract_x
_atom_site_fract_y
_atom_site_fract_z
Li1 Li 0.000 0.000 0.000
Tc1 Tc 0.000 0.500 0.500
H1 H 0.250 0.250 0.274
```



KGaNiHg2 | PBE-GGA | optimized geometry

Summary:
DFT total energy in eV for the cell shown: -11.2

CIF file:
```
data_KGaNiHg2
_chemical_formula_sum 'K1 Ga1 Ni1 Hg2'
_symmetry_space_group_name_H-M 'P 4/m m m'
_symmetry_Int_Tables_number 123
_symmetry_space_group_name_Hall '-P 4 2'
_cell_length_a 5.198
_cell_length_b 5.198
_cell_length_c 4.650
_cell_angle_alpha 90.00
_cell_angle_beta 90.00
_cell_angle_gamma 90.00
loop_
_atom_site_label
_atom_site_type_symbol
_atom_site_fract_x
_atom_site_fract_y
_atom_site_fract_z
K1 K 0.000 0.000 0.000
Ga1 Ga 0.500 0.500 0.000
Ni1 Ni 0.500 0.500 0.500
Hg1 Hg 0.000 0.500 0.500
```



IrAuSe2 | PBE-GGA | optimized geometry

Summary:
ΔE_f (raw) in eV/atom: 0.1666

CIF file:
```
data_IrAuSe2
_chemical_formula_sum 'Ir4 Au4 Se8'
_symmetry_space_group_name_H-M 'I -4 2 d'
_symmetry_Int_Tables_number 122
_symmetry_space_group_name_Hall 'I -4 2bw'
_cell_length_a 6.210
_cell_length_b 6.210
_cell_length_c 9.795
_cell_angle_alpha 90.00
_cell_angle_beta 90.00
_cell_angle_gamma 90.00
loop_
_atom_site_label
_atom_site_type_symbol
_atom_site_fract_x
_atom_site_fract_y
_atom_site_fract_z
Ir1 Ir 0.000 0.000 0.000
Au1 Au 0.000 0.000 0.500
Se1 Se 0.218 0.250 0.125
```



Mg3Si4 | PBE-GGA | optimized geometry

Summary:
ΔE_f (raw) in eV/atom: 0.1171
Relative energy among the computed polymorphs in eV/f.u.: 0.45

CIF file:
```
data_Mg3Si4
_chemical_formula_sum 'Mg6 Si8'
_symmetry_space_group_name_H-M 'P 1'
_symmetry_Int_Tables_number 1
_symmetry_space_group_name_Hall 'P 1'
_cell_length_a 5.016
_cell_length_b 7.331
_cell_length_c 8.134
_cell_angle_alpha 72.48
_cell_angle_beta 86.72
_cell_angle_gamma 80.23
loop_
_atom_site_label
_atom_site_type_symbol
_atom_site_fract_x
_atom_site_fract_y
_atom_site_fract_z
Mg1 Mg 0.000 0.000 0.000
Mg2 Mg 0.025 0.555 0.230
Mg3 Mg 0.062 0.459 0.791
Mg4 Mg 0.315 0.096 0.326
Mg5 Mg 0.618 0.047 0.690
Mg6 Mg 0.833 0.814 0.450
Si1 Si 0.203 0.840 0.681
Si2 Si 0.356 0.677 0.432
Si3 Si 0.364 0.673 0.969
Si4 Si 0.455 0.158 0.963
Si5 Si 0.556 0.831 0.146
Si6 Si 0.670 0.375 0.051
Si7 Si 0.721 0.428 0.550
Si8 Si 0.789 0.232 0.351
```



Mn2ZnSi | PBE-GGA | optimized geometry

Summary:
ΔE_f (raw) in eV/atom: 0.0707

CIF file:
```
data_Mn2ZnSi
_chemical_formula_sum 'Mn6 Zn3 Si3'
_symmetry_space_group_name_H-M 'R 3 m'
_symmetry_Int_Tables_number 160
_symmetry_space_group_name_Hall 'R 3 -2"'
_cell_length_a 2.6080
_cell_length_b 2.6080
_cell_length_c 24.8375
_cell_angle_alpha 90.00
_cell_angle_beta 90.00
_cell_angle_gamma 120.00
loop_
_atom_site_label
_atom_site_type_symbol
_atom_site_fract_x
_atom_site_fract_y
_atom_site_fract_z
Mn1 Mn 0.0000 0.0000 0.0000
Mn2 Mn 0.0000 0.0000 0.2597
Zn1 Zn 0.0000 0.0000 0.5058
Si1 Si 0.0000 0.0000 0.7453
```



Number 1: calculated density 10.8 g cm⁻³, total magnetic moment 0.0 Bohr magnetons per cell. Number 2: calculated density 4.5 g cm⁻³, total magnetic moment 0.0 Bohr magnetons per cell. Number 3: calculated density 7.5 g cm⁻³, total magnetic moment 0.0 Bohr magnetons per cell. Number 4: calculated density 9.6 g cm⁻³, total magnetic moment 0.0 Bohr magnetons per cell. Number 5: calculated density 2.2 g cm⁻³, total magnetic moment 0.0 Bohr magnetons per cell. Number 6: calculated density 6.9 g cm⁻³, total magnetic moment 0.0 Bohr magnetons per cell.